1.
Density functional theory data (PBE) for a relaxed Ac3TbPb5 crystal.

Output
SG ... P6_3/mcm
Crystal system ... hexagonal
Total energy ... -4.4314 eV/atom
Mass density ... 10.198 Mg/m³
ΔE_f ... -0.487 eV per atom

Cell lengths 6.914, 10.101, 10.101 Å; angles 120.00, 90.00, 90.00 degrees
Atoms (fractional coordinates):
Ac  0.750  0.382  0.000
Ac  0.750  0.618  0.618
Ac  0.750  0.000  0.382
Ac  0.250  0.618  0.000
Ac  0.250  0.382  0.382
Ac  0.250  0.000  0.618
Tb  0.000  0.000  0.000
Tb  0.500  0.000  0.000
Pb  0.000  0.333  0.667
Pb  0.500  0.667  0.333
Pb  0.000  0.667  0.333
Pb  0.500  0.333  0.667
Pb  0.750  0.724  0.000
Pb  0.750  0.276  0.276
Pb  0.750  0.000  0.724
Pb  0.250  0.276  0.000
Pb  0.250  0.724  0.724
Pb  0.250  0.000  0.276


2.
Density functional theory data (PBE) for a relaxed Ac2TbPb2 crystal.

Output
SG ... Cmc2_1
Crystal system ... orthorhombic
Total energy ... -4.5008 eV/atom
Mass density ... 9.306 Mg/m³
ΔE_f ... -0.448 eV per atom
Energy above the lowest structure with this stoichiometry ... 57.8 meV/atom

Cell lengths 5.338, 7.020, 10.140 Å; angles 90.00, 105.26, 90.00 degrees
Atoms (fractional coordinates):
Ac  0.000  0.727  0.000
Ac  0.804  0.476  0.607
Ac  0.196  0.976  0.393
Ac  0.000  0.227  0.000
Tb  0.399  0.977  0.798
Tb  0.601  0.477  0.202
Pb  0.424  0.477  0.848
Pb  0.819  0.976  0.638
Pb  0.181  0.476  0.362
Pb  0.576  0.977  0.152


3.
Density functional theory data (PBE) for a relaxed AcTbPb3 crystal.

Output
SG ... Cm
Crystal system ... monoclinic
Total energy ... -4.1935 eV/atom
Mass density ... 9.367 Mg/m³
ΔE_f ... -0.221 eV per atom

Cell lengths 4.892, 4.893, 8.230 Å; angles 72.65, 72.65, 90.05 degrees
Atoms (fractional coordinates):
Ac  0.340  0.143  0.027
Tb  0.024  0.828  0.656
Pb  0.660  0.964  0.384
Pb  0.160  0.464  0.384
Pb  0.823  0.627  0.060


4.
Density functional theory data (PBE) for a relaxed Ac4TbPb5 crystal.

Output
SG ... P4/mmm
Crystal system ... tetragonal
Total energy ... -4.4336 eV/atom
Mass density ... 10.257 Mg/m³
ΔE_f ... -0.473 eV per atom

Cell lengths 3.825, 3.825, 23.271 Å; angles 90.00, 90.00, 90.00 degrees
Atoms (fractional coordinates):
Ac  0.000  0.000  0.191
Ac  0.000  0.000  0.397
Ac  0.000  0.000  0.603
Ac  0.000  0.000  0.809
Tb  0.000  0.000  0.000
Pb  0.500  0.500  0.089
Pb  0.500  0.500  0.294
Pb  0.500  0.500  0.500
Pb  0.500  0.500  0.706
Pb  0.500  0.500  0.911


5.
Density functional theory data (PBE) for a relaxed Ac2TbPb crystal.

Output
SG ... Fm-3m
Crystal system ... cubic
Total energy ... -4.2290 eV/atom
Mass density ... 9.258 Mg/m³
ΔE_f ... -0.090 eV per atom
Energy above the lowest structure with this stoichiometry ... 139.0 meV/atom

Cell lengths 5.925, 5.925, 5.925 Å; angles 60.00, 60.00, 60.00 degrees
Atoms (fractional coordinates):
Pb  0.000  0.000  0.000
Ac  0.250  0.250  0.250
Ac  0.750  0.750  0.750
Tb  0.500  0.500  0.500


6.
Density functional theory data (PBE) for a relaxed AcTbPb crystal.

Output
SG ... P-6m2
Crystal system ... hexagonal
Total energy ... -4.4140 eV/atom
Mass density ... 9.045 Mg/m³
ΔE_f ... -0.265 eV per atom
Energy above the lowest structure with this stoichiometry ... 191.6 meV/atom

Cell lengths 4.524, 5.272, 5.272 Å; angles 120.00, 90.00, 90.00 degrees
Atoms (fractional coordinates):
Pb  0.166  0.000  0.000
Ac  0.667  0.333  0.667
Tb  0.167  0.667  0.333